# 1
## Zn2BrN (PBE)

Data for a relaxed Zn2BrN crystal.

Summary:
- VASP energy: -0.2558 Ry per atom

Cell lengths 5.488, 5.488, 9.752 Å; angles 90.00, 90.00, 90.00 degrees
Space group I-42d (No. 122)
One atom of each set of equivalent atoms:
1 Zn 0.108 0.250 0.125 [8 per cell]
2 Br 0.000 0.000 0.500 [4 per cell]
3 N 0.000 0.000 0.000 [4 per cell]


# 2
## TaCoIr (PBE)

Data for a relaxed TaCoIr crystal.

Summary:
- VASP energy: -0.7101 Ry per atom
- E_form: -387.6 meV/atom

Cell lengths 3.802, 3.803, 11.922 Å; angles 90.00, 90.00, 90.00 degrees
Space group Amm2 (No. 38)
One atom of each set of equivalent atoms:
1 Ta 0.000 0.000 0.000 [2 per cell]
2 Ta 0.500 0.000 0.192 [2 per cell]
3 Co 0.500 0.000 0.512 [2 per cell]
4 Co 0.500 0.000 0.849 [2 per cell]
5 Ir 0.000 0.000 0.349 [2 per cell]
6 Ir 0.000 0.000 0.678 [2 per cell]


# 3
## Pa2Co4Ni (PBE)

Data for a relaxed Pa2Co4Ni crystal.

Summary:
- VASP energy: -0.5457 Ry per atom
- E_form: 175.3 meV/atom

Cell lengths 4.412, 4.412, 12.225 Å; angles 90.00, 90.00, 90.00 degrees
Space group I4/mmm (No. 139)
One atom of each set of equivalent atoms:
1 Pa 0.000 0.000 0.143 [4 per cell]
2 Co 0.000 0.000 0.318 [4 per cell]
3 Co 0.000 0.500 0.000 [4 per cell]
4 Ni 0.000 0.000 0.500 [2 per cell]


# 4
## ScZnGa4 (PBE)

Data for a relaxed ScZnGa4 crystal.

Summary:
- VASP energy: -0.2604 Ry per atom
- E_form: -257.3 meV/atom

Cell lengths 6.114, 16.100, 4.294 Å; angles 90.00, 90.00, 90.00 degrees
Space group Cmcm (No. 63)
One atom of each set of equivalent atoms:
1 Sc 0.000 0.125 0.250 [4 per cell]
2 Zn 0.000 0.385 0.750 [4 per cell]
3 Ga 0.227 0.292 0.250 [8 per cell]
4 Ga 0.232 0.455 0.250 [8 per cell]


# 5
## CaSiIrAu2 (PBE)

Data for a relaxed CaSiIrAu2 crystal.

Summary:
- VASP energy: -0.2866 Ry per atom

Cell lengths 4.631, 4.631, 5.418 Å; angles 90.00, 90.00, 90.00 degrees
Space group P4/mmm (No. 123)
One atom of each set of equivalent atoms:
1 Ca 0.000 0.000 0.000 [1 per cell]
2 Si 0.000 0.000 0.500 [1 per cell]
3 Ir 0.500 0.500 0.000 [1 per cell]
4 Au 0.000 0.500 0.500 [2 per cell]


# 6
## Mg2TaPdC (PBE)

Data for a relaxed Mg2TaPdC crystal.

Summary:
- VASP energy: -0.2577 Ry per atom
- E_form: 2385.0 meV/atom

Cell lengths 5.471, 5.471, 4.747 Å; angles 90.00, 90.00, 90.00 degrees
Space group P4/mmm (No. 123)
One atom of each set of equivalent atoms:
1 Mg 0.000 0.500 0.000 [2 per cell]
2 Ta 0.000 0.000 0.000 [1 per cell]
3 Pd 0.000 0.000 0.500 [1 per cell]
4 C 0.500 0.500 0.500 [1 per cell]


# 7
## NpGaGe (PBE)

Data for a relaxed NpGaGe crystal.

Summary:
- VASP energy: -0.5133 Ry per atom
- E_form: -121.8 meV/atom

Cell lengths 4.3263, 4.3263, 7.5352 Å; angles 90.00, 90.00, 120.00 degrees
Space group P6_3/mmc (No. 194)
One atom of each set of equivalent atoms:
1 Np 0.0000 0.0000 0.0000 [2 per cell]
2 Ga 0.3333 0.6667 0.2500 [2 per cell]
3 Ge 0.3333 0.6667 0.7500 [2 per cell]


# 8
## Rb3Na2PuO6 (PBE)

Data for a relaxed Rb3Na2PuO6 crystal.

Summary:
- VASP energy: -0.4450 Ry per atom

Cell lengths 6.168, 10.691, 6.652 Å; angles 90.00, 107.26, 90.00 degrees
Space group C2/m (No. 12)
One atom of each set of equivalent atoms:
1 Rb 0.000 0.000 0.000 [2 per cell]
2 Rb 0.000 0.323 0.000 [4 per cell]
3 Na 0.000 0.166 0.500 [4 per cell]
4 Pu 0.000 0.500 0.500 [2 per cell]
5 O 0.198 0.364 0.681 [8 per cell]
6 O 0.206 0.500 0.309 [4 per cell]


# 9
## YBe17Mo (PBE)

Data for a relaxed YBe17Mo crystal.

Summary:
- VASP energy: -0.3211 Ry per atom
- E_form: -125.0 meV/atom

Cell lengths 7.4888, 7.4888, 10.9136 Å; angles 90.00, 90.00, 120.00 degrees
Space group R3m (No. 160, hexagonal axes)
One atom of each set of equivalent atoms:
1 Y 0.0000 0.0000 0.0000 [3 per cell]
2 Be 0.0000 0.0000 0.2476 [3 per cell]
3 Be 0.0000 0.0000 0.4408 [3 per cell]
4 Be 0.0042 0.5021 0.1803 [9 per cell]
5 Be 0.0050 0.2910 0.3389 [18 per cell]
6 Be 0.0084 0.5042 0.4945 [9 per cell]
7 Be 0.1678 0.3355 0.1738 [9 per cell]
8 Mo 0.0000 0.0000 0.6754 [3 per cell]


# 10
## SrNiCl2 (PBE)

Data for a relaxed SrNiCl2 crystal.

Summary:
- VASP energy: -0.2598 Ry per atom

Cell lengths 3.792, 8.376, 7.297 Å; angles 90.00, 90.00, 90.00 degrees
Space group Cmmm (No. 65)
One atom of each set of equivalent atoms:
1 Sr 0.000 0.000 0.000 [2 per cell]
2 Ni 0.000 0.000 0.500 [2 per cell]
3 Cl 0.000 0.500 0.294 [4 per cell]


# 11
## NbIn2Os (PBE)

Data for a relaxed NbIn2Os crystal.

Summary:
- VASP energy: -0.4592 Ry per atom
- E_form: 446.6 meV/atom

Cell lengths 6.647, 6.647, 6.647 Å; angles 90.00, 90.00, 90.00 degrees
Space group Fm-3m (No. 225)
One atom of each set of equivalent atoms:
1 Nb 0.000 0.000 0.000 [4 per cell]
2 In 0.250 0.250 0.250 [8 per cell]
3 Os 0.000 0.000 0.500 [4 per cell]


# 12
## CsCuHg3 (PBE)

Data for a relaxed CsCuHg3 crystal.

Summary:
- VASP energy: -0.0432 Ry per atom
- E_form: 583.5 meV/atom

Cell lengths 7.124, 7.124, 7.124 Å; angles 90.00, 90.00, 90.00 degrees
Space group Pm-3m (No. 221)
One atom of each set of equivalent atoms:
1 Cs 0.000 0.000 0.000 [1 per cell]
2 Cu 0.500 0.500 0.500 [1 per cell]
3 Hg 0.000 0.000 0.500 [3 per cell]


Which formula does entry 12 have?
CsCuHg3